1.
Computed, not measured: an optimized crystal structure of NaCaInCl6 at the PBE level of DFT.

Computed properties:
DOS(E_F) (states/eV per atom): 0.000
E_form (uncorrected) (eV/atom): -1.691

abc: 6.8496 6.8496 12.4018
angles: 90.00 90.00 120.00
Space group P-31c (No. 163)
Unique sites:
Na  0.0000  0.0000  0.0000 x2
Ca  0.3333  0.6667  0.2500 x2
In  0.3333  0.6667  0.7500 x2
Cl  0.0218  0.3655  0.6317 x12


2.
Computed, not measured: an optimized crystal structure of NaCaInCl4 at the PBE level of DFT.

Computed properties:
DOS(E_F) (states/eV per atom): 0.000
E_form (uncorrected) (eV/atom): -1.759

abc: 8.2920 9.5699 11.1447
angles: 90.00 90.00 90.00
Space group Imma (No. 74)
Unique sites:
Na  0.0000  0.0000  0.0000 x4
Ca  0.2500  0.2500  0.2500 x4
In  0.0000  0.2500  0.6578 x4
Cl  0.0000  0.0589  0.2484 x8
Cl  0.2216  0.2500  0.0043 x8


3.
Computed, not measured: an optimized crystal structure of NaCa2InCl6 at the PBE level of DFT.

Computed properties:
DOS(E_F) (states/eV per atom): 0.000
E_form (uncorrected) (eV/atom): -1.951

abc: 7.3096 7.3096 18.9389
angles: 90.00 90.00 120.00
Space group R3 (No. 146, hexagonal axes)
Unique sites:
Na  0.0000  0.0000  0.0000 x3
Ca  0.0000  0.0000  0.3030 x3
Ca  0.0000  0.0000  0.7959 x3
In  0.0000  0.0000  0.5192 x3
Cl  0.0107  0.3753  0.0562 x9
Cl  0.0166  0.5943  0.5587 x9


4.
Computed, not measured: an optimized crystal structure of CaNpInCl6 at the PBE level of DFT.

Computed properties:
DOS(E_F) (states/eV per atom): 0.926
E_form (uncorrected) (eV/atom): -1.748

abc: 7.2400 7.2400 13.5543
angles: 90.00 90.00 120.00
Space group P-31c (No. 163)
Unique sites:
Ca  0.3333  0.6667  0.2500 x2
Np  0.3333  0.6667  0.7500 x2
In  0.0000  0.0000  0.0000 x2
Cl  0.0016  0.3686  0.6382 x12


5.
Computed, not measured: an optimized crystal structure of CaIn2OsCl at the PBE level of DFT.

Computed properties:
DOS(E_F) (states/eV per atom): 1.177
E_form (uncorrected) (eV/atom): 1.092

abc: 6.0326 6.0326 4.9385
angles: 90.00 90.00 90.00
Space group P4/mmm (No. 123)
Unique sites:
Ca  0.0000  0.0000  0.0000 x1
In  0.0000  0.5000  0.0000 x2
Os  0.5000  0.5000  0.5000 x1
Cl  0.0000  0.0000  0.5000 x1


6.
Computed, not measured: an optimized crystal structure of CaInP2Cl at the PBE level of DFT.

Computed properties:
Relative energy among the computed polymorphs (meV per atom): 248
DOS(E_F) (states/eV per atom): 0.619
E_form (uncorrected) (eV/atom): 0.166

abc: 5.6415 5.6415 5.3417
angles: 90.00 90.00 90.00
Space group P4/mmm (No. 123)
Unique sites:
Ca  0.0000  0.0000  0.0000 x1
In  0.5000  0.5000  0.5000 x1
P  0.0000  0.5000  0.0000 x2
Cl  0.0000  0.0000  0.5000 x1